(1)
{"formula": "KSb2Br8", "functional": "PBE", "state": "relaxed", "dft_energy_ev_per_atom": -2.75, "magnetic_moment_mub_per_fu": 0.74, "lattice": [[9.225, 0.448, 0.340], [0.836, 7.781, 1.198], [0.836, 3.249, 7.171]], "species": ["K", "Sb", "Sb", "Br", "Br", "Br", "Br", "Br", "Br", "Br", "Br"], "frac_coords": [[0.000, 0.000, 0.000], [0.677, 0.761, 0.761], [0.323, 0.239, 0.239], [0.213, 0.400, 0.901], [0.787, 0.099, 0.600], [0.403, 0.866, 0.866], [0.597, 0.134, 0.134], [0.213, 0.901, 0.400], [0.787, 0.600, 0.099], [0.871, 0.583, 0.583], [0.129, 0.417, 0.417]]}

***

(2)
{"formula": "Rb2GaSn6", "functional": "PBE", "state": "relaxed", "dft_energy_ev_per_atom": -3.28, "e_form_mev_per_atom": -58.8, "magnetic_moment_mub_per_fu": 0.00, "lattice": [[6.718, -0.274, 3.476], [1.975, 6.427, 3.476], [-0.007, -0.005, 6.941]], "species": ["Rb", "Rb", "Ga", "Sn", "Sn", "Sn", "Sn", "Sn", "Sn"], "frac_coords": [[0.299, 0.299, 0.201], [0.701, 0.701, 0.799], [0.500, 0.500, 0.500], [0.193, 0.193, 0.807], [0.182, 0.818, 0.257], [0.818, 0.182, 0.743], [0.818, 0.182, 0.257], [0.182, 0.818, 0.743], [0.807, 0.807, 0.193]]}

***

(3)
{"formula": "MnPtS2N", "functional": "PBE", "state": "relaxed", "dft_energy_ev_per_atom": -5.87, "magnetic_moment_mub_per_fu": 0.99, "e_above_lowest_polymorph_mev_per_atom": 0, "lattice": [[4.622, 0.000, 0.000], [0.000, 4.622, 0.000], [0.000, 0.000, 3.404]], "species": ["S", "S", "Mn", "Pt", "N"], "frac_coords": [[0.000, 0.500, 0.000], [0.500, 0.000, 0.000], [0.000, 0.000, 0.000], [0.500, 0.500, 0.500], [0.000, 0.000, 0.500]]}

***

(4)
{"formula": "Sr2MgCd10", "functional": "PBE", "state": "relaxed", "dft_energy_ev_per_atom": -1.11, "e_form_mev_per_atom": -27.8, "magnetic_moment_mub_per_fu": 0.00, "lattice": [[-2.921, -1.076, 5.201], [5.476, -11.119, 0.776], [8.064, 4.350, 5.428]], "species": ["Sr", "Sr", "Sr", "Sr", "Mg", "Mg", "Cd", "Cd", "Cd", "Cd", "Cd", "Cd", "Cd", "Cd", "Cd", "Cd", "Cd", "Cd", "Cd", "Cd", "Cd", "Cd", "Cd", "Cd", "Cd", "Cd"], "frac_coords": [[0.500, 0.369, 0.866], [0.500, 0.631, 0.134], [0.500, 0.869, 0.634], [0.500, 0.131, 0.366], [0.000, 0.500, 0.500], [0.000, 0.000, 0.000], [0.000, 0.109, 0.542], [0.000, 0.891, 0.458], [0.000, 0.609, 0.958], [0.000, 0.391, 0.042], [0.000, 0.190, 0.817], [0.000, 0.810, 0.183], [0.262, 0.192, 0.080], [0.262, 0.808, 0.920], [0.738, 0.692, 0.420], [0.738, 0.308, 0.580], [0.738, 0.808, 0.920], [0.738, 0.192, 0.080], [0.262, 0.308, 0.580], [0.262, 0.692, 0.420], [0.000, 0.052, 0.261], [0.000, 0.948, 0.739], [0.000, 0.552, 0.239], [0.000, 0.448, 0.761], [0.000, 0.310, 0.317], [0.000, 0.690, 0.683]]}

***

(5)
{"formula": "Ce5S4N", "functional": "PBE", "state": "relaxed", "dft_energy_ev_per_atom": -7.31, "magnetic_moment_mub_per_fu": 0.72, "lattice": [[-2.004, 3.394, -0.316], [-2.449, -1.179, 2.872], [10.521, 4.670, 8.165]], "species": ["Ce", "Ce", "Ce", "Ce", "Ce", "S", "S", "S", "S", "N"], "frac_coords": [[0.089, 0.089, 0.177], [0.500, 0.500, 0.000], [0.911, 0.911, 0.823], [0.300, 0.300, 0.601], [0.700, 0.700, 0.399], [0.401, 0.401, 0.802], [0.804, 0.804, 0.607], [0.196, 0.196, 0.393], [0.599, 0.599, 0.198], [0.000, 0.000, 0.000]]}

***

(6)
{"formula": "Rb2Pa3InO12", "functional": "PBE", "state": "relaxed", "dft_energy_ev_per_atom": -7.56, "magnetic_moment_mub_per_fu": 2.86, "lattice": [[7.891, -0.137, -0.097], [3.777, 6.929, -0.097], [3.777, 2.199, 6.572]], "species": ["Rb", "Rb", "Pa", "Pa", "Pa", "In", "O", "O", "O", "O", "O", "O", "O", "O", "O", "O", "O", "O"], "frac_coords": [[0.655, 0.655, 0.655], [0.345, 0.345, 0.345], [0.500, 0.000, 0.000], [0.000, 0.500, 0.000], [0.000, 0.000, 0.500], [0.000, 0.000, 0.000], [0.315, 0.315, 0.953], [0.935, 0.935, 0.319], [0.319, 0.935, 0.935], [0.953, 0.315, 0.315], [0.935, 0.319, 0.935], [0.315, 0.953, 0.315], [0.685, 0.685, 0.047], [0.065, 0.065, 0.681], [0.681, 0.065, 0.065], [0.047, 0.685, 0.685], [0.065, 0.681, 0.065], [0.685, 0.047, 0.685]]}

***

What did the first record say?
{"formula": "KSb2Br8", "functional": "PBE", "state": "relaxed", "dft_energy_ev_per_atom": -2.75, "magnetic_moment_mub_per_fu": 0.74, "lattice": [[9.225, 0.448, 0.340], [0.836, 7.781, 1.198], [0.836, 3.249, 7.171]], "species": ["K", "Sb", "Sb", "Br", "Br", "Br", "Br", "Br", "Br", "Br", "Br"], "frac_coords": [[0.000, 0.000, 0.000], [0.677, 0.761, 0.761], [0.323, 0.239, 0.239], [0.213, 0.400, 0.901], [0.787, 0.099, 0.600], [0.403, 0.866, 0.866], [0.597, 0.134, 0.134], [0.213, 0.901, 0.400], [0.787, 0.600, 0.099], [0.871, 0.583, 0.583], [0.129, 0.417, 0.417]]}